Record 1
DFT (PBE) results for a relaxed TaAlTc2 crystal.

Unit cell a=3.2789 b=4.0860 c=4.6150 alpha=90.00 beta=90.00 gamma=90.00
With the nearest neighbours (Å) after each atom.
Sites, in units of the cell vectors:
1 Ta 0.0000 0.0000 0.0000  4 Tc 2.62, 4 Al 2.83
2 Al 0.5000 0.0000 0.5000  4 Tc 2.62, 4 Ta 2.83
3 Tc 0.0000 0.5000 0.5000  4 Al 2.62, 4 Tc 2.83
4 Tc 0.5000 0.5000 0.0000  4 Ta 2.62, 4 Tc 2.83

---

Record 2
DFT (PBE) results for a relaxed Ta2AlTc crystal.

Unit cell a=2.8435 b=2.8435 c=8.7315 alpha=90.00 beta=90.00 gamma=109.75
With the nearest neighbours (Å) after each atom.
Sites, in units of the cell vectors:
1 Ta 0.0000 0.0000 0.0000  2 Tc 2.67, 6 Ta 2.84-2.85
2 Ta 0.5000 0.5000 0.2674  2 Al 2.78, 6 Ta 2.84-2.85
3 Al 0.0000 0.0000 0.5255  2 Tc 2.61, 2 Ta 2.78, 4 Al 2.84
4 Tc 0.5000 0.5000 0.7579  2 Al 2.61, 2 Ta 2.67, 4 Tc 2.84

---

Record 3
DFT (PBE) results for a relaxed TaAlTc2 crystal.

Unit cell a=2.8144 b=4.3568 c=5.2201 alpha=90.00 beta=104.97 gamma=90.00
With the nearest neighbours (Å) after each atom.
Sites, in units of the cell vectors:
1 Ta 0.0000 0.0000 0.0000  4 Tc 2.61-2.73, 2 Ta 2.81, 2 Al 2.84
2 Al 0.3510 0.5000 0.7504  4 Tc 2.61-2.66, 2 Al 2.81, 2 Ta 2.84
3 Tc 0.5211 0.0000 0.5004  2 Ta 2.61-2.64, 2 Al 2.65, 4 Tc 2.70-2.81
4 Tc 0.7909 0.5000 0.2671  2 Al 2.61-2.66, 4 Tc 2.70-2.81, 2 Ta 2.73

---

Record 4
DFT (PBE) results for a relaxed Ta2AlTc crystal.

Unit cell a=9.2177 b=9.2177 c=9.2177 alpha=18.33 beta=18.33 gamma=18.33
With the nearest neighbours (Å) after each atom.
Sites, in units of the cell vectors:
1 Ta 0.2462 0.2462 0.2462  3 Tc 2.75, 3 Al 2.91, 6 Ta 2.94
2 Ta 0.7538 0.7538 0.7538  3 Tc 2.75, 3 Al 2.91, 6 Ta 2.94
3 Al 0.0000 0.0000 0.0000  6 Ta 2.91, 6 Al 2.94
4 Tc 0.5000 0.5000 0.5000  6 Ta 2.75, 6 Tc 2.94

---

Record 5
DFT (PBE) results for a relaxed TaAl4Tc crystal.

Unit cell a=5.0464 b=5.0464 c=5.0464 alpha=60.00 beta=60.00 gamma=60.00
With the nearest neighbours (Å) after each atom.
Sites, in units of the cell vectors:
1 Ta 0.0000 0.0000 0.0000  12 Al 2.96, 4 Tc 3.09
2 Al 0.3750 0.3750 0.3750  6 Al 2.52
3 Al 0.3750 0.3750 0.8751  6 Al 2.52
4 Al 0.3750 0.8751 0.3750  6 Al 2.52
5 Al 0.8751 0.3750 0.3750  6 Al 2.52
6 Tc 0.7500 0.7500 0.7500  12 Al 2.96, 4 Ta 3.09

---

Record 6
DFT (PBE) results for a relaxed Ta3AlTc crystal.

Its relative energy among the computed polymorphs is 0.0 meV per atom.

Unit cell a=4.7849 b=4.7849 c=4.7849 alpha=90.00 beta=90.00 gamma=90.00
With the nearest neighbours (Å) after each atom.
Sites, in units of the cell vectors:
1 Ta 0.0000 0.0000 0.5000  2 Tc 2.39
2 Ta 0.0000 0.5000 0.0000  2 Tc 2.39
3 Ta 0.5000 0.0000 0.0000  2 Tc 2.39
4 Al 0.5000 0.5000 0.5000  12 Ta 3.38
5 Tc 0.0000 0.0000 0.0000  6 Ta 2.39

---

no.,electronic total energy (eV per cell)
1,-36.86
2,-38.47
3,-37.16
4,-37.69
5,-37.43
6,-44.17